P | # Tb3Ga8Au3

A relaxed structure of Tb3Ga8Au3 (PBE, Alexandria).

a b c (Å): 15.917 4.367 9.967
angles (deg): 90.00 127.71 90.00
Space group C2/m (No. 12)
One atom of each set of equivalent atoms:
Tb 0.000 0.000 0.000
Tb 0.192 0.500 0.681
Ga 0.010 0.500 0.702
Ga 0.142 0.000 0.423
Ga 0.148 0.000 0.875
Ga 0.160 0.500 0.042
Au 0.000 0.000 0.500
Au 0.153 0.500 0.292

magnetization = 0.00 μB/f.u.
DOS(E_F) = 0.50 states/eV/atom
crystal system = monoclinic

---

Q | # Tb3Ga8Au3

A relaxed structure of Tb3Ga8Au3 (PBE, Alexandria).

a b c (Å): 4.355 9.666 12.810
angles (deg): 90.00 90.00 90.00
Space group Immm (No. 71)
One atom of each set of equivalent atoms:
Tb 0.000 0.000 0.000
Tb 0.000 0.000 0.308
Ga 0.000 0.280 0.141
Ga 0.000 0.371 0.337
Au 0.000 0.208 0.500
Au 0.000 0.500 0.000

magnetization = 0.00 μB/f.u.
DOS(E_F) = 0.24 states/eV/atom
crystal system = orthorhombic

---

What should be chosen as the least stable of them? Choose Q.

---

P | # Tb2Ga5Au3

A relaxed structure of Tb2Ga5Au3 (PBE, Alexandria).

a b c (Å): 10.972 11.964 6.073
angles (deg): 90.00 90.00 90.00
Space group Ibam (No. 72)
One atom of each set of equivalent atoms:
Tb 0.245 0.125 0.000
Ga 0.000 0.000 0.250
Ga 0.000 0.260 0.250
Ga 0.143 0.380 0.000
Au 0.000 0.500 0.250
Au 0.131 0.131 0.500

magnetization = 0.00 μB/f.u.
DOS(E_F) = 0.28 states/eV/atom
crystal system = orthorhombic

---

Q | # Tb2Ga5Au3

A relaxed structure of Tb2Ga5Au3 (PBE, Alexandria).

a b c (Å): 4.432 25.092 7.038
angles (deg): 90.00 90.00 90.00
Space group Cmc2_1 (No. 36)
One atom of each set of equivalent atoms:
Tb 0.000 0.017 0.000
Tb 0.000 0.326 0.010
Ga 0.000 0.105 0.336
Ga 0.000 0.206 0.220
Ga 0.000 0.207 0.812
Ga 0.000 0.382 0.486
Ga 0.000 0.450 0.178
Au 0.000 0.107 0.726
Au 0.000 0.277 0.517
Au 0.000 0.448 0.788

magnetization = 0.00 μB/f.u.
DOS(E_F) = 0.35 states/eV/atom
crystal system = orthorhombic

---

What should be chosen as the least stable of them? Choose P.

---

P | # TbGa3Au3

A relaxed structure of TbGa3Au3 (PBE, Alexandria).

a b c (Å): 8.1038 8.1038 16.4499
angles (deg): 90.00 90.00 120.00
Space group R-3 (No. 148, hexagonal axes)
One atom of each set of equivalent atoms:
Tb 0.0000 0.0000 0.1654
Ga 0.0000 0.3069 0.4130
Au 0.9999 0.3437 0.5890

magnetization = 0.00 μB/f.u.
DOS(E_F) = 0.37 states/eV/atom
crystal system = trigonal

---

Q | # TbGa3Au3

A relaxed structure of TbGa3Au3 (PBE, Alexandria).

a b c (Å): 7.423 4.512 9.005
angles (deg): 90.00 107.86 90.00
Space group P2_1/m (No. 11)
One atom of each set of equivalent atoms:
Tb 0.204 0.250 0.278
Ga 0.119 0.250 0.907
Ga 0.229 0.750 0.746
Ga 0.462 0.250 0.718
Au 0.018 0.250 0.603
Au 0.231 0.750 0.046
Au 0.392 0.750 0.534

magnetization = 0.00 μB/f.u.
DOS(E_F) = 0.40 states/eV/atom
crystal system = monoclinic

---

What should be chosen as the least stable of them? Choose P.